1.
## ZrSI2N (GGA-PBE)

Data for crystalline ZrSI2N at its relaxed geometry.

Computed properties:
Electronic total energy, eV/atom: -4.5668
Total magnetic moment, μB/cell: 2.26
ΔE to the lowest computed polymorph, meV/atom: 0
E_form (uncorrected), kJ/mol of atoms: 24
Space-group type: P4/mmm, No. 123

Cell and atoms, written as POSCAR:
```
ZrSI2N
1.0
-4.871 2.362 2.501
0.337 -3.987 4.422
2.306 2.528 2.104
I S Zr N
2 1 1 1
Direct
0.000 0.500 0.000
0.500 0.000 0.000
0.500 0.500 0.500
0.000 0.000 0.000
0.000 0.000 0.500
```


2.
## ZrS2IN (GGA-PBE)

Data for crystalline ZrS2IN at its relaxed geometry.

Computed properties:
Electronic total energy, eV/atom: -5.2043
Total magnetic moment, μB/cell: 0.00
ΔE to the lowest computed polymorph, meV/atom: 0
E_form (uncorrected), kJ/mol of atoms: 13
Space-group type: P4/mmm, No. 123

Cell and atoms, written as POSCAR:
```
ZrS2IN
1.0
5.183 0.000 0.000
0.000 5.183 0.000
0.000 0.000 4.108
Zr N S I
1 1 2 1
Direct
0.000 0.000 0.000
0.000 0.000 0.500
0.000 0.500 0.000
0.500 0.000 0.000
0.500 0.500 0.500
```


3.
## ZrS2IN (GGA-PBE)

Data for crystalline ZrS2IN at its relaxed geometry.

Computed properties:
Electronic total energy, eV/atom: -4.2787
Total magnetic moment, μB/cell: 0.00
ΔE to the lowest computed polymorph, meV/atom: 926
E_form (uncorrected), kJ/mol of atoms: 102
Space-group type: P4/mmm, No. 123

Cell and atoms, written as POSCAR:
```
ZrS2IN
1.0
-1.692 3.777 -3.072
0.657 -3.046 -4.106
-3.635 -1.311 0.390
S Zr I N
2 1 1 1
Direct
0.500 0.000 0.000
0.000 0.500 0.000
0.500 0.500 0.500
0.000 0.000 0.000
0.000 0.000 0.500
```


4.
## ZrSI2N (GGA-PBE)

Data for crystalline ZrSI2N at its relaxed geometry.

Computed properties:
Electronic total energy, eV/atom: -4.0222
Total magnetic moment, μB/cell: 1.66
ΔE to the lowest computed polymorph, meV/atom: 545
E_form (uncorrected), kJ/mol of atoms: 77
Space-group type: P4/mmm, No. 123

Cell and atoms, written as POSCAR:
```
ZrSI2N
1.0
5.848 0.000 0.000
0.000 5.848 0.000
0.000 0.000 3.436
I S N Zr
2 1 1 1
Direct
0.500 0.000 0.000
0.000 0.500 0.000
0.000 0.000 0.000
0.000 0.000 0.500
0.500 0.500 0.500
```


5.
## SbI2N (GGA-PBE)

Data for crystalline SbI2N at its relaxed geometry.

Computed properties:
Electronic total energy, eV/atom: -2.6847
Total magnetic moment, μB/cell: 0.00
ΔE to the lowest computed polymorph, meV/atom: 323
E_form (uncorrected), kJ/mol of atoms: 116
Space-group type: I-42d, No. 122

Cell and atoms, written as POSCAR:
```
SbI2N
1.0
6.597 0.000 0.000
0.000 6.597 0.000
3.299 3.299 5.777
N I Sb
2 4 2
Direct
0.250 0.750 0.500
0.500 0.500 0.000
0.436 0.125 0.250
0.875 0.686 0.750
0.375 0.564 0.750
0.314 0.625 0.250
0.000 0.000 0.000
0.750 0.250 0.500
```


6.
## Sb2IN (GGA-PBE)

Data for crystalline Sb2IN at its relaxed geometry.

Computed properties:
Electronic total energy, eV/atom: -3.1015
Total magnetic moment, μB/cell: 0.00
ΔE to the lowest computed polymorph, meV/atom: 834
E_form (uncorrected), kJ/mol of atoms: 138
Space-group type: Fm-3m, No. 225

Cell and atoms, written as POSCAR:
```
Sb2IN
1.0
-3.939 -2.148 2.345
-3.614 2.896 2.045
-4.600 0.171 -2.106
Sb I N
2 1 1
Direct
0.250 0.250 0.250
0.750 0.750 0.750
0.500 0.500 0.500
0.000 0.000 0.000
```


7.
## Sb3IN (GGA-PBE)

Data for crystalline Sb3IN at its relaxed geometry.

Computed properties:
Electronic total energy, eV/atom: -3.6899
Total magnetic moment, μB/cell: 0.00
ΔE to the lowest computed polymorph, meV/atom: 0
E_form (uncorrected), kJ/mol of atoms: 73
Space-group type: Pm-3m, No. 221

Cell and atoms, written as POSCAR:
```
Sb3IN
1.0
4.931 0.000 0.000
0.000 4.931 0.000
0.000 0.000 4.931
I Sb N
1 3 1
Direct
0.500 0.500 0.500
0.000 0.000 0.500
0.000 0.500 0.000
0.500 0.000 0.000
0.000 0.000 0.000
```


8.
## SbI2N (GGA-PBE)

Data for crystalline SbI2N at its relaxed geometry.

Computed properties:
Electronic total energy, eV/atom: -3.0074
Total magnetic moment, μB/cell: 4.00
ΔE to the lowest computed polymorph, meV/atom: 0
E_form (uncorrected), kJ/mol of atoms: 85
Space-group type: P-1, No. 2

Cell and atoms, written as POSCAR:
```
SbI2N
1.0
-2.089 2.997 2.290
-3.439 -4.771 3.139
13.209 0.300 2.761
I Sb N
4 2 2
Direct
0.920 0.496 0.655
0.933 0.856 0.121
0.080 0.504 0.345
0.067 0.144 0.879
0.697 0.084 0.452
0.303 0.916 0.548
0.548 0.725 0.969
0.452 0.275 0.031
```


9.
## Sb3IN (GGA-PBE)

Data for crystalline Sb3IN at its relaxed geometry.

Computed properties:
Electronic total energy, eV/atom: -2.0558
Total magnetic moment, μB/cell: 0.00
ΔE to the lowest computed polymorph, meV/atom: 1634
E_form (uncorrected), kJ/mol of atoms: 231
Space-group type: Pm-3m, No. 221

Cell and atoms, written as POSCAR:
```
Sb3IN
1.0
5.755 0.000 0.000
0.000 5.755 0.000
0.000 0.000 5.755
I Sb N
1 3 1
Direct
0.000 0.000 0.000
0.500 0.000 0.000
0.000 0.500 0.000
0.000 0.000 0.500
0.500 0.500 0.500
```


10.
## SbI4N2 (GGA-PBE)

Data for crystalline SbI4N2 at its relaxed geometry.

Computed properties:
Electronic total energy, eV/atom: -2.9826
Total magnetic moment, μB/cell: 0.00
E_form (uncorrected), kJ/mol of atoms: 84
Space-group type: P-1, No. 2

Cell and atoms, written as POSCAR:
```
SbI4N2
1.0
4.232 0.566 -0.856
1.203 8.206 0.862
-0.850 1.407 7.765
I N Sb
4 2 1
Direct
0.519 0.153 0.183
0.481 0.847 0.817
0.148 0.641 0.355
0.852 0.359 0.645
0.661 0.591 0.411
0.339 0.409 0.589
0.000 0.000 0.000
```


11.
## SbI2N (GGA-PBE)

Data for crystalline SbI2N at its relaxed geometry.

Computed properties:
Electronic total energy, eV/atom: -2.5886
Total magnetic moment, μB/cell: 2.11
ΔE to the lowest computed polymorph, meV/atom: 419
E_form (uncorrected), kJ/mol of atoms: 125
Space-group type: Fm-3m, No. 225

Cell and atoms, written as POSCAR:
```
SbI2N
1.0
0.000 3.778 3.778
3.778 0.000 3.778
3.778 3.778 0.000
N I Sb
1 2 1
Direct
0.000 0.000 0.000
0.250 0.250 0.250
0.750 0.750 0.750
0.500 0.500 0.500
```


12.
## Sb2IN (GGA-PBE)

Data for crystalline Sb2IN at its relaxed geometry.

Computed properties:
Electronic total energy, eV/atom: -3.9357
Total magnetic moment, μB/cell: 0.00
ΔE to the lowest computed polymorph, meV/atom: 0
E_form (uncorrected), kJ/mol of atoms: 57
Space-group type: I-42d, No. 122

Cell and atoms, written as POSCAR:
```
Sb2IN
1.0
5.933 0.000 0.000
0.000 5.933 0.000
2.967 2.967 6.710
Sb I N
4 2 2
Direct
0.458 0.125 0.250
0.875 0.708 0.750
0.375 0.542 0.750
0.292 0.625 0.250
0.000 0.000 0.000
0.750 0.250 0.500
0.250 0.750 0.500
0.500 0.500 0.000
```